! CsSn4Pb8 PBE relaxed; values from VASP
! Symmetry: R-3m (166)
! Mass density in kg/m3: 6017
! ΔH_f (0 K) in meV/atom: 181
&SYSTEM
  ibrav = 0, nat = 13, ntyp = 3
/
ATOMIC_SPECIES
Pb 207.20 Pb.upf
Cs 132.91 Cs.upf
Sn 118.71 Sn.upf
ATOMIC_POSITIONS crystal
Pb 0.338 0.716 0.716
Pb 0.284 0.284 0.662
Pb 0.729 0.729 0.729
Pb 0.716 0.338 0.716
Pb 0.716 0.716 0.338
Pb 0.284 0.662 0.284
Pb 0.271 0.271 0.271
Pb 0.662 0.284 0.284
Cs 0.000 0.000 0.000
Sn 0.500 0.500 0.000
Sn 0.500 0.000 0.500
Sn 0.500 0.500 0.500
Sn 0.000 0.500 0.500
CELL_PARAMETERS angstrom
-5.117 8.589 -3.040
-6.127 1.494 -8.332
-10.282 1.805 -0.458



! CsSnPb PBE relaxed; values from VASP
! Symmetry: P-1 (2)
! Mass density in kg/m3: 5228
! Excess energy over the best structure of this formula in the dataset in kJ/mol of formula units: 19.5
! ΔH_f (0 K) in meV/atom: -155
&SYSTEM
  ibrav = 0, nat = 6, ntyp = 3
/
ATOMIC_SPECIES
Pb 207.20 Pb.upf
Sn 118.71 Sn.upf
Cs 132.91 Cs.upf
ATOMIC_POSITIONS crystal
Pb 0.670 0.854 0.237
Pb 0.322 0.141 0.760
Sn 0.154 0.815 0.447
Sn 0.839 0.181 0.550
Cs 0.595 0.689 0.756
Cs 0.398 0.306 0.240
CELL_PARAMETERS angstrom
4.593 -0.004 -0.019
-2.301 7.469 0.361
-0.039 -3.351 8.342



no.,total DFT energy (no corrections) (eV/cell)
1,-44.178
2,-18.062